Re2MoRu GGA-PBEsol optimized geometry; DFT formation energy = 0.37 eV per formula unit; ΔE to the lowest computed polymorph = 0.0 meV per atom; magnetization = 0.00 μB per formula unit
1.0
-0.6886 0.3971 2.6157
-3.7153 -0.4523 -0.9095
0.4295 -5.4057 0.9338
Ru Mo Re
1 1 2
Direct
0.0000 0.0000 0.4985
0.5000 0.5000 0.7453
0.5000 0.5000 0.2497
0.0000 0.0000 0.0065